The following is a PBE calculation of a relaxed Ac4PrHg3 crystal, from Alexandria via LeMat-Bulk.

Energy of formation from the pure elements   -304 meV/atom

Geometry as POSCAR:
```
Ac4PrHg3
1.0
3.962 0.000 0.000
0.000 5.868 0.000
0.000 0.000 11.910
Ac Pr Hg
4 1 3
Cartesian
0.000 0.000 0.000 Ac
0.000 0.000 5.955 Ac
0.000 2.934 2.800 Ac
0.000 2.934 9.111 Ac
1.981 2.934 5.955 Pr
1.981 0.000 3.079 Hg
1.981 0.000 8.832 Hg
1.981 2.934 0.000 Hg
```